Record 1
{"formula": "Y5Mo", "functional": "PBE", "state": "relaxed", "cell": [[5.668, -2.714, -0.863], [0.744, -6.205, 1.088], [0.903, -3.984, -4.852]], "species": ["Y", "Y", "Y", "Y", "Y", "Mo"], "fractional_positions": [[0.250, 0.250, 0.250], [0.122, 0.626, 0.626], [0.626, 0.626, 0.626], [0.626, 0.626, 0.122], [0.626, 0.122, 0.626], [0.000, 0.000, 0.000]], "magnetic_moment_mub_per_fu": 4.336, "e_tot_ev_per_cell": -38.601, "delta_e_f_ev_per_fu": 4.55, "spacegroup": "F-43m, No. 216", "polymorph_energy_kj_per_mol_atoms": 55.2}

=====

Record 2
{"formula": "ZrSb3H", "functional": "PBE", "state": "relaxed", "cell": [[-3.973, 1.847, 1.697], [-2.095, -0.698, -4.147], [-1.378, -4.263, 1.414]], "species": ["Sb", "Sb", "Sb", "Zr", "H"], "fractional_positions": [[0.000, 0.500, 0.000], [0.000, 0.000, 0.500], [0.500, 0.000, 0.000], [0.500, 0.500, 0.500], [0.000, 0.000, 0.000]], "magnetic_moment_mub_per_fu": 0.000, "e_tot_ev_per_cell": -22.849, "spacegroup": "Pm-3m, No. 221", "polymorph_energy_kj_per_mol_atoms": 0.0}